# LiMg7Tl4 | the Alexandria database | PBE-GGA | optimized geometry
data_LiMg7Tl4
_chemical_formula_sum 'Li1 Mg7 Tl4'
_space_group_name_H-M_alt 'P 1'
_space_group_IT_number 1
_cell_length_a 7.136
_cell_length_b 7.136
_cell_length_c 10.983
_cell_angle_alpha 123.92
_cell_angle_beta 123.92
_cell_angle_gamma 43.79
loop_
_space_group_symop_operation_xyz
'x,y,z'
loop_
_atom_site_label
_atom_site_type_symbol
_atom_site_fract_x
_atom_site_fract_y
_atom_site_fract_z
Li1 Li 0.000 0.000 0.000
Mg1 Mg 0.080 0.080 0.332
Mg2 Mg 0.214 0.214 0.892
Mg3 Mg 0.358 0.358 0.439
Mg4 Mg 0.500 0.500 0.000
Mg5 Mg 0.642 0.642 0.561
Mg6 Mg 0.786 0.786 0.108
Mg7 Mg 0.920 0.920 0.668
Tl1 Tl 0.280 0.280 0.674
Tl2 Tl 0.425 0.425 0.222
Tl3 Tl 0.575 0.575 0.778
Tl4 Tl 0.720 0.720 0.326
# **Uncorrected energy**: -21.714 eV per cell
# **Crystal system**: monoclinic
# **Formation energy from the elements**: 0.069 eV per atom